[1]
This record from the Alexandria database describes an optimized crystal structure of Mg3InSe. The functional is PBE.

Unit cell a=5.087 b=5.087 c=5.087 alpha=90.00 beta=90.00 gamma=90.00
Sites, in units of the cell vectors:
Mg (0.000, 0.000, 0.500)
Mg (0.000, 0.500, 0.000)
Mg (0.500, 0.000, 0.000)
In (0.500, 0.500, 0.500)
Se (0.000, 0.000, 0.000)

Total energy, eV/atom: -2.278

***

[2]
This record from the Alexandria database describes an optimized crystal structure of MgInSe2. The functional is PBE.

Unit cell a=7.350 b=7.350 c=7.350 alpha=150.81 beta=150.34 gamma=42.09
Sites, in units of the cell vectors:
Mg (0.000, 0.000, 0.000)
In (0.249, 0.749, 0.500)
Se (0.573, 0.573, 0.000)
Se (0.843, 0.343, 0.500)

Total energy, eV/atom: -3.450

***

[3]
This record from the Alexandria database describes an optimized crystal structure of MgIn2Se. The functional is PBE.

Unit cell a=4.129 b=5.966 c=4.152 alpha=90.00 beta=90.72 gamma=90.00
Sites, in units of the cell vectors:
Mg (0.000, 0.000, 0.000)
In (0.254, 0.500, 0.746)
In (0.746, 0.500, 0.254)
Se (0.500, 0.000, 0.500)

Total energy, eV/atom: -2.858

***

[4]
This record from the Alexandria database describes an optimized crystal structure of MgIn3Se. The functional is PBE.

Unit cell a=5.621 b=5.621 c=5.621 alpha=90.00 beta=90.00 gamma=90.00
Sites, in units of the cell vectors:
Mg (0.000, 0.000, 0.000)
In (0.000, 0.500, 0.500)
In (0.500, 0.000, 0.500)
In (0.500, 0.500, 0.000)
Se (0.500, 0.500, 0.500)

Total energy, eV/atom: -2.354

***

[5]
This record from the Alexandria database describes an optimized crystal structure of MgInSe3. The functional is PBE.

Unit cell a=6.806 b=4.680 c=10.108 alpha=90.00 beta=100.63 gamma=90.00
Sites, in units of the cell vectors:
Mg (0.182, 0.250, 0.267)
Mg (0.818, 0.750, 0.733)
In (0.354, 0.250, 0.764)
In (0.646, 0.750, 0.236)
Se (0.019, 0.750, 0.218)
Se (0.437, 0.250, 0.506)
Se (0.480, 0.250, 0.137)
Se (0.520, 0.750, 0.863)
Se (0.563, 0.750, 0.494)
Se (0.981, 0.250, 0.782)

Total energy, eV/atom: -3.597

***

[6]
This record from the Alexandria database describes an optimized crystal structure of MgInSe2. The functional is PBE.

Unit cell a=7.775 b=7.775 c=7.775 alpha=33.04 beta=33.04 gamma=33.04
Sites, in units of the cell vectors:
Mg (0.000, 0.000, 0.000)
In (0.502, 0.502, 0.502)
Se (0.119, 0.119, 0.119)
Se (0.633, 0.633, 0.633)

Total energy, eV/atom: -3.542

***

[7]
This record from the Alexandria database describes an optimized crystal structure of MgIn2Se. The functional is PBE.

Unit cell a=6.154 b=6.154 c=6.154 alpha=144.62 beta=130.33 gamma=62.45
Sites, in units of the cell vectors:
Mg (0.000, 0.000, 0.000)
In (0.437, 0.437, 0.000)
In (0.724, 0.224, 0.500)
Se (0.178, 0.678, 0.500)

Total energy, eV/atom: -2.887

***

[8]
This record from the Alexandria database describes an optimized crystal structure of MgIn2Se. The functional is PBE.

Unit cell a=8.344 b=8.344 c=8.344 alpha=26.70 beta=26.70 gamma=26.70
Sites, in units of the cell vectors:
Mg (0.000, 0.000, 0.000)
In (0.244, 0.244, 0.244)
In (0.756, 0.756, 0.756)
Se (0.500, 0.500, 0.500)

Total energy, eV/atom: -2.832

***

[9]
This record from the Alexandria database describes an optimized crystal structure of MgInSe3. The functional is PBE.

Unit cell a=5.146 b=5.146 c=5.146 alpha=90.00 beta=90.00 gamma=90.00
Sites, in units of the cell vectors:
Mg (0.000, 0.000, 0.000)
In (0.500, 0.500, 0.500)
Se (0.000, 0.000, 0.500)
Se (0.000, 0.500, 0.000)
Se (0.500, 0.000, 0.000)

Total energy, eV/atom: -3.011

***

[10]
This record from the Alexandria database describes an optimized crystal structure of MgInSe2. The functional is PBE.

Unit cell a=7.768 b=7.768 c=7.768 alpha=132.52 beta=132.52 gamma=69.41
Sites, in units of the cell vectors:
Mg (0.000, 0.000, 0.000)
Mg (0.750, 0.250, 0.500)
In (0.250, 0.750, 0.500)
In (0.500, 0.500, 0.000)
Se (0.097, 0.625, 0.972)
Se (0.375, 0.347, 0.472)
Se (0.653, 0.125, 0.028)
Se (0.875, 0.903, 0.528)

Total energy, eV/atom: -3.529

***

[11]
This record from the Alexandria database describes an optimized crystal structure of Mg3InSe. The functional is PBE.

Unit cell a=5.280 b=5.280 c=5.280 alpha=90.00 beta=90.00 gamma=90.00
Sites, in units of the cell vectors:
Mg (0.000, 0.000, 0.500)
Mg (0.000, 0.500, 0.000)
Mg (0.500, 0.000, 0.000)
In (0.000, 0.000, 0.000)
Se (0.500, 0.500, 0.500)

Total energy, eV/atom: -2.019

***

[12]
This record from the Alexandria database describes an optimized crystal structure of Mg3InSe4. The functional is PBE.

Unit cell a=14.634 b=14.634 c=14.634 alpha=16.94 beta=16.94 gamma=16.94
Sites, in units of the cell vectors:
Mg (0.000, 0.000, 0.000)
Mg (0.254, 0.254, 0.254)
Mg (0.745, 0.745, 0.745)
In (0.501, 0.501, 0.501)
Se (0.060, 0.060, 0.060)
Se (0.315, 0.315, 0.315)
Se (0.568, 0.568, 0.568)
Se (0.806, 0.806, 0.806)

Total energy, eV/atom: -3.655

***

[13]
This record from the Alexandria database describes an optimized crystal structure of MgInSe2. The functional is PBE.

Unit cell a=5.684 b=5.684 c=5.684 alpha=139.70 beta=98.17 gamma=95.46
Sites, in units of the cell vectors:
Mg (0.000, 0.000, 0.000)
In (0.500, 0.500, 0.000)
Se (0.230, 0.730, 0.500)
Se (0.770, 0.270, 0.500)

Total energy, eV/atom: -3.337

***

[14]
This record from the Alexandria database describes an optimized crystal structure of MgInSe2. The functional is PBE.

Unit cell a=4.269 b=4.269 c=7.653 alpha=90.00 beta=90.00 gamma=125.53
Sites, in units of the cell vectors:
Mg (0.000, 0.000, 0.000)
In (0.000, 0.000, 0.500)
Se (0.500, 0.500, 0.230)
Se (0.500, 0.500, 0.770)

Total energy, eV/atom: -3.339

***

[15]
This record from the Alexandria database describes an optimized crystal structure of MgIn2Se. The functional is PBE.

Unit cell a=8.274 b=8.274 c=8.274 alpha=27.03 beta=27.03 gamma=27.03
Sites, in units of the cell vectors:
Mg (0.000, 0.000, 0.000)
In (0.240, 0.240, 0.240)
In (0.478, 0.478, 0.478)
Se (0.726, 0.726, 0.726)

Total energy, eV/atom: -2.998

***

[16]
This record from the Alexandria database describes an optimized crystal structure of MgInSe2. The functional is PBE.

Unit cell a=4.007 b=6.817 c=6.817 alpha=32.06 beta=90.00 gamma=90.00
Sites, in units of the cell vectors:
Mg (0.000, 0.000, 0.000)
In (0.500, 0.234, 0.234)
Se (0.000, 0.676, 0.676)
Se (0.500, 0.442, 0.442)

Total energy, eV/atom: -3.490

***

[17]
This record from the Alexandria database describes an optimized crystal structure of MgIn3Se. The functional is PBE.

Unit cell a=5.431 b=5.431 c=5.431 alpha=90.00 beta=90.00 gamma=90.00
Sites, in units of the cell vectors:
Mg (0.000, 0.000, 0.000)
In (0.000, 0.000, 0.500)
In (0.000, 0.500, 0.000)
In (0.500, 0.000, 0.000)
Se (0.500, 0.500, 0.500)

Total energy, eV/atom: -2.376

***

[18]
This record from the Alexandria database describes an optimized crystal structure of MgIn2Se. The functional is PBE.

Unit cell a=3.693 b=3.693 c=7.222 alpha=90.00 beta=90.00 gamma=90.00
Sites, in units of the cell vectors:
Mg (0.000, 0.000, 0.000)
In (0.500, 0.500, 0.263)
In (0.500, 0.500, 0.737)
Se (0.000, 0.000, 0.500)

Total energy, eV/atom: -2.785

***

[19]
This record from the Alexandria database describes an optimized crystal structure of MgInSe3. The functional is PBE.

Unit cell a=7.163 b=7.163 c=6.791 alpha=104.05 beta=104.05 gamma=120.42
Sites, in units of the cell vectors:
Mg (0.171, 0.829, 0.000)
Mg (0.829, 0.171, 0.000)
In (0.339, 0.339, 0.653)
In (0.661, 0.661, 0.347)
Se (0.017, 0.373, 0.736)
Se (0.248, 0.248, 0.225)
Se (0.373, 0.017, 0.736)
Se (0.627, 0.983, 0.264)
Se (0.752, 0.752, 0.775)
Se (0.983, 0.627, 0.264)

Total energy, eV/atom: -3.591

***

[20]
This record from the Alexandria database describes an optimized crystal structure of MgInSe2. The functional is PBE.

Unit cell a=5.067 b=5.067 c=5.067 alpha=60.00 beta=60.00 gamma=60.00
Sites, in units of the cell vectors:
Mg (0.000, 0.000, 0.000)
In (0.750, 0.750, 0.750)
Se (0.250, 0.250, 0.250)
Se (0.500, 0.500, 0.500)

Total energy, eV/atom: -2.851